# GGA-PBE ZrMo3I, optimized geometry
data_ZrMo3I
_cell_length_a 4.925
_cell_length_b 4.925
_cell_length_c 4.925
_cell_angle_alpha 90.00
_cell_angle_beta 90.00
_cell_angle_gamma 90.00
_symmetry_space_group_name_H-M 'P 1'
_symmetry_Int_Tables_number 1
loop_
_symmetry_equiv_pos_as_xyz
'x,y,z'
loop_
_atom_site_label
_atom_site_type_symbol
_atom_site_fract_x
_atom_site_fract_y
_atom_site_fract_z
_atom_site_occupancy
Mo1 Mo 0.500 0.000 0.000 1
Mo2 Mo 0.000 0.500 0.000 1
Mo3 Mo 0.000 0.000 0.500 1
Zr1 Zr 0.000 0.000 0.000 1
I1 I 0.500 0.500 0.500 1
# density: 7.0 g/cm3
# energy relative to the elements, uncorrected: 2.187 eV per atom

***

# GGA-PBE Th2FeBC, optimized geometry
data_Th2FeBC
_cell_length_a 3.767
_cell_length_b 3.767
_cell_length_c 12.178
_cell_angle_alpha 90.00
_cell_angle_beta 90.00
_cell_angle_gamma 90.00
_symmetry_space_group_name_H-M 'P 1'
_symmetry_Int_Tables_number 1
loop_
_symmetry_equiv_pos_as_xyz
'x,y,z'
loop_
_atom_site_label
_atom_site_type_symbol
_atom_site_fract_x
_atom_site_fract_y
_atom_site_fract_z
_atom_site_occupancy
B1 B 0.500 0.000 0.572 1
B2 B 0.000 0.500 0.428 1
Th1 Th 0.000 0.500 0.103 1
Th2 Th 0.000 0.500 0.676 1
Th3 Th 0.500 0.000 0.897 1
Th4 Th 0.500 0.000 0.324 1
Fe1 Fe 0.500 0.500 0.500 1
Fe2 Fe 0.000 0.000 0.500 1
C1 C 0.500 0.000 0.102 1
C2 C 0.000 0.500 0.898 1
# density: 10.4 g/cm3
# DFT formation energy: -0.334 eV per atom

***

# GGA-PBE LaP3Br, optimized geometry
data_LaP3Br
_cell_length_a 5.601
_cell_length_b 5.601
_cell_length_c 5.601
_cell_angle_alpha 90.00
_cell_angle_beta 90.00
_cell_angle_gamma 90.00
_symmetry_space_group_name_H-M 'P 1'
_symmetry_Int_Tables_number 1
loop_
_symmetry_equiv_pos_as_xyz
'x,y,z'
loop_
_atom_site_label
_atom_site_type_symbol
_atom_site_fract_x
_atom_site_fract_y
_atom_site_fract_z
_atom_site_occupancy
P1 P 0.000 0.500 0.000 1
P2 P 0.000 0.000 0.500 1
P3 P 0.500 0.000 0.000 1
La1 La 0.000 0.000 0.000 1
Br1 Br 0.500 0.500 0.500 1
# density: 2.9 g/cm3
# energy relative to the elements, uncorrected: 0.971 eV per atom

***

Table of DOS at the Fermi energy (states/eV per atom), in record order: 1.373 0.767 1.503
Table of total magnetic moment (Bohr magnetons per cell), in record order: 1.940 0.000 0.000
Table of V (Å³ per atom), in record order: 23.9 17.3 35.2